A plane-wave DFT calculation with PBE+U was carried out for crystalline PuTaVO6 at its relaxed geometry.

The calculation puts the energy at -0.3579 hartree per atom.

The space group is P-31c (No. 163) and the conventional cell measures 5.2206, 5.2206 and 9.7463 Å, with angles of 90.00, 90.00 and 120.00 degrees. The asymmetric unit holds Pu at (0.0000, 0.0000, 0.0000), Ta at (0.3333, 0.6667, 0.2500), V at (0.3333, 0.6667, 0.7500) and O at (0.0046, 0.3531, 0.1374).